Below is a crystal of TlCo3H relaxed with PBEsol, with properties calculated at the SCAN level.

a b c (Å): 3.7457 3.7457 3.7457
angles (deg): 90.00 90.00 90.00
Closest atoms and distances in Å follow each position.
Fractional coordinates of all 5 atoms:
Tl 0.0000 0.0000 0.0000  12 Co 2.65
Co 0.0000 0.5000 0.5000  2 H 1.87
Co 0.5000 0.0000 0.5000  2 H 1.87
Co 0.5000 0.5000 0.0000  2 H 1.87
H 0.5000 0.5000 0.5000  6 Co 1.87

Total magnetic moment ... 0.81 μB/atom
Space group ... Pm-3m
Total DFT energy (no corrections) ... -25.1727 eV/atom